## Al2FeO (PBE+U)

Data for a relaxed structure of Al2FeO.

Cell: 5.700 5.700 6.693 Å, 90.00 90.00 90.00°
Element x y z (fractional)
1 Al 0.174 0.250 0.125
2 Al 0.250 0.674 0.375
3 Al 0.250 0.826 0.875
4 Al 0.326 0.250 0.625
5 Al 0.674 0.750 0.625
6 Al 0.750 0.174 0.875
7 Al 0.750 0.326 0.375
8 Al 0.826 0.750 0.125
9 Fe 0.000 0.000 0.500
10 Fe 0.000 0.500 0.750
11 Fe 0.500 0.000 0.250
12 Fe 0.500 0.500 0.000
13 O 0.000 0.000 0.000
14 O 0.000 0.500 0.250
15 O 0.500 0.000 0.750
16 O 0.500 0.500 0.500

Results
As for the density of states at the Fermi level: 2.556 states/eV/cell. Its total energy is -79.31 eV/cell.